1.
DFT (GGA-PBE) results for a geometry-optimized TbDyPaO6 structure.

## Properties
- energy relative to the elements, uncorrected (eV per atom) = -3.22
- DOS(E_F) (states/eV per cell) = 9.31

a b c (Å): 4.6747 5.8049 5.8049
angles (deg): 120.00 90.00 90.00
Closest atoms and distances in Å follow each position.
Fractional coordinates of all 9 atoms:
Pa 0.0000 0.3333 0.6667  6 O 2.20
O 0.7454 0.3317 0.9841  1 Pa 2.20, 1 Dy 2.28, 1 Tb 2.29
O 0.2546 0.6524 0.9841  1 Pa 2.20, 1 Dy 2.28, 1 Tb 2.29
O 0.7454 0.6524 0.6683  1 Pa 2.20, 1 Dy 2.28, 1 Tb 2.29
O 0.2546 0.0159 0.6683  1 Pa 2.20, 1 Dy 2.28, 1 Tb 2.29
O 0.2546 0.3317 0.3476  1 Pa 2.20, 1 Dy 2.28, 1 Tb 2.29
O 0.7454 0.0159 0.3476  1 Pa 2.20, 1 Dy 2.28, 1 Tb 2.29
Tb 0.5000 0.6667 0.3333  6 O 2.29
Dy 0.5000 0.0000 0.0000  6 O 2.28


2.
DFT (GGA-PBE) results for a geometry-optimized DyPaTeO6 structure.

## Properties
- energy relative to the elements, uncorrected (eV per atom) = -2.63
- DOS(E_F) (states/eV per cell) = 0.00

a b c (Å): 5.6718 5.6718 9.6027
angles (deg): 90.00 90.00 120.00
Closest atoms and distances in Å follow each position.
Fractional coordinates of all 18 atoms:
O 0.6816 0.6702 0.1286  1 Te 2.20, 1 Pa 2.22, 1 Dy 2.28
Dy 0.6667 0.3333 0.7500  6 O 2.28
O 0.3184 0.3298 0.8714  1 Te 2.20, 1 Pa 2.22, 1 Dy 2.28
Te 0.3333 0.6667 0.7500  6 O 2.20
Dy 0.3333 0.6667 0.2500  6 O 2.28
O 0.6702 0.6816 0.6286  1 Te 2.20, 1 Pa 2.22, 1 Dy 2.28
O 0.3184 0.9887 0.6286  1 Te 2.20, 1 Pa 2.22, 1 Dy 2.28
Pa 0.0000 0.0000 0.5000  6 O 2.22
O 0.0113 0.6816 0.8714  1 Te 2.20, 1 Pa 2.22, 1 Dy 2.28
O 0.9887 0.3184 0.1286  1 Te 2.20, 1 Pa 2.22, 1 Dy 2.28
O 0.3298 0.3184 0.3714  1 Te 2.20, 1 Pa 2.22, 1 Dy 2.28
O 0.6816 0.0113 0.3714  1 Te 2.20, 1 Pa 2.22, 1 Dy 2.28
O 0.0113 0.3298 0.6286  1 Te 2.20, 1 Pa 2.22, 1 Dy 2.28
Te 0.6667 0.3333 0.2500  6 O 2.20
O 0.3298 0.0113 0.1286  1 Te 2.20, 1 Pa 2.22, 1 Dy 2.28
O 0.9887 0.6702 0.3714  1 Te 2.20, 1 Pa 2.22, 1 Dy 2.28
O 0.6702 0.9887 0.8714  1 Te 2.20, 1 Pa 2.22, 1 Dy 2.28
Pa 0.0000 0.0000 0.0000  6 O 2.22


Listing calculated total energy for the structures above in their given order: -0.6322, -0.5771 Ry/atom.